Record 1
First-principles (PBE) data for crystalline La3Y3Ho4 at its relaxed geometry, as listed in Alexandria.

Lattice parameters (Å, degrees): 3.7345 13.5395 13.5199 90.00 90.00 90.00
Space group Amm2 (No. 38)
One atom of each set of equivalent atoms:
La1 0.0000 0.0000 0.0000 x2
La2 0.5000 0.2454 0.5777 x4
Y1 0.0000 0.0000 0.6520 x2
Y2 0.0000 0.1723 0.3269 x4
Ho1 0.5000 0.0000 0.2059 x2
Ho2 0.5000 0.0000 0.4498 x2
Ho3 0.5000 0.1238 0.8222 x4

ΔE_f = 0.084 eV per atom
V = 683.6 Å³/cell
uncorrected energy = -5.165 eV per atom

Record 2
First-principles (PBE) data for crystalline La3YHo2 at its relaxed geometry, as listed in Alexandria.

Lattice parameters (Å, degrees): 3.4871 6.0158 19.7806 90.00 90.00 90.00
Space group Immm (No. 71)
One atom of each set of equivalent atoms:
La1 0.0000 0.0000 0.0000 x2
La2 0.0000 0.5000 0.1881 x4
Y1 0.0000 0.5000 0.0000 x2
Ho1 0.0000 0.5000 0.3632 x4

ΔE_f = 0.322 eV per atom
V = 414.9 Å³/cell
ΔE to the lowest computed polymorph = 1.25 eV per formula unit
uncorrected energy = -4.745 eV per atom

Record 3
First-principles (PBE) data for crystalline La4YHo at its relaxed geometry, as listed in Alexandria.

Lattice parameters (Å, degrees): 3.5650 5.8569 10.0416 90.00 90.00 90.00
Space group Pmmm (No. 47)
One atom of each set of equivalent atoms:
La1 0.0000 0.0000 0.1706 x2
La2 0.0000 0.5000 0.3269 x2
Y1 0.5000 0.0000 0.5000 x1
Ho1 0.5000 0.5000 0.0000 x1

ΔE_f = 0.061 eV per atom
V = 209.7 Å³/cell
ΔE to the lowest computed polymorph = 0.00 eV per formula unit
uncorrected energy = -5.065 eV per atom

Record 4
First-principles (PBE) data for crystalline La2Y5Ho5 at its relaxed geometry, as listed in Alexandria.

Lattice parameters (Å, degrees): 15.2179 5.0743 11.3241 90.00 116.58 90.00
Space group C2/m (No. 12)
One atom of each set of equivalent atoms:
La1 0.0830 0.0000 0.2481 x4
Y1 0.0000 0.5000 0.0000 x2
Y2 0.0857 0.5000 0.7506 x4
Y3 0.1660 0.5000 0.5005 x4
Ho1 0.0000 0.0000 0.5000 x2
Ho2 0.1690 0.0000 0.0006 x4
Ho3 0.2477 0.0000 0.7499 x4

ΔE_f = 0.031 eV per atom
V = 782.0 Å³/cell
uncorrected energy = -5.391 eV per atom

Record 5
First-principles (PBE) data for crystalline LaY3Ho3 at its relaxed geometry, as listed in Alexandria.

Lattice parameters (Å, degrees): 9.6261 9.6261 5.7073 90.00 90.00 120.00
Space group P6_3/m (No. 176)
One atom of each set of equivalent atoms:
La1 0.3333 0.6667 0.2500 x2
Y1 0.0474 0.2366 0.2500 x6
Ho1 0.0964 0.4782 0.7500 x6

ΔE_f = 0.015 eV per atom
V = 458.0 Å³/cell
ΔE to the lowest computed polymorph = 0.00 eV per formula unit
uncorrected energy = -5.421 eV per atom

Record 6
First-principles (PBE) data for crystalline La8YHo2 at its relaxed geometry, as listed in Alexandria.

Lattice parameters (Å, degrees): 9.2896 16.8544 6.0910 90.00 124.37 90.00
Space group C2/m (No. 12)
One atom of each set of equivalent atoms:
La1 0.0000 0.2065 0.0000 x4
La2 0.0778 0.5000 0.7988 x4
La3 0.2152 0.1198 0.6854 x8
Y1 0.0000 0.0000 0.0000 x2
Ho1 0.0000 0.3118 0.5000 x4

ΔE_f = 0.124 eV per atom
V = 787.2 Å³/cell
ΔE to the lowest computed polymorph = 1.13 eV per formula unit
uncorrected energy = -4.880 eV per atom

Record 7
First-principles (PBE) data for crystalline La6YHo4 at its relaxed geometry, as listed in Alexandria.

Lattice parameters (Å, degrees): 7.0070 7.0070 15.9396 90.00 90.00 90.00
Space group I-42m (No. 121)
One atom of each set of equivalent atoms:
La1 0.0000 0.5000 0.0000 x4
La2 0.1943 0.1943 0.1826 x8
Y1 0.0000 0.0000 0.0000 x2
Ho1 0.1681 0.1681 0.3980 x8

ΔE_f = 0.281 eV per atom
V = 782.6 Å³/cell
uncorrected energy = -4.659 eV per atom

Record 8
First-principles (PBE) data for crystalline La7Y6Ho16 at its relaxed geometry, as listed in Alexandria.

Lattice parameters (Å, degrees): 15.9605 15.9605 15.9605 90.00 90.00 90.00
Space group Fm-3m (No. 225)
One atom of each set of equivalent atoms:
La1 0.0000 0.0000 0.0000 x4
La2 0.0000 0.2500 0.2500 x24
Y1 0.0000 0.0000 0.2602 x24
Ho1 0.1285 0.1285 0.1285 x32
Ho2 0.1529 0.1529 0.3471 x32

ΔE_f = 0.265 eV per atom
V = 4065.7 Å³/cell
uncorrected energy = -4.787 eV per atom

> Which formula does entry 5 have?

LaY3Ho3

Repeat the fifth record exactly.
First-principles (PBE) data for crystalline LaY3Ho3 at its relaxed geometry, as listed in Alexandria.

Lattice parameters (Å, degrees): 9.6261 9.6261 5.7073 90.00 90.00 120.00
Space group P6_3/m (No. 176)
One atom of each set of equivalent atoms:
La1 0.3333 0.6667 0.2500 x2
Y1 0.0474 0.2366 0.2500 x6
Ho1 0.0964 0.4782 0.7500 x6

ΔE_f = 0.015 eV per atom
V = 458.0 Å³/cell
ΔE to the lowest computed polymorph = 0.00 eV per formula unit
uncorrected energy = -5.421 eV per atom

Please write out number 4 again, unchanged.
First-principles (PBE) data for crystalline La2Y5Ho5 at its relaxed geometry, as listed in Alexandria.

Lattice parameters (Å, degrees): 15.2179 5.0743 11.3241 90.00 116.58 90.00
Space group C2/m (No. 12)
One atom of each set of equivalent atoms:
La1 0.0830 0.0000 0.2481 x4
Y1 0.0000 0.5000 0.0000 x2
Y2 0.0857 0.5000 0.7506 x4
Y3 0.1660 0.5000 0.5005 x4
Ho1 0.0000 0.0000 0.5000 x2
Ho2 0.1690 0.0000 0.0006 x4
Ho3 0.2477 0.0000 0.7499 x4

ΔE_f = 0.031 eV per atom
V = 782.0 Å³/cell
uncorrected energy = -5.391 eV per atom